First-principles (GGA-PBE) data for Co4Ni8Rh after structural relaxation, as listed in the Alexandria database.

Computed properties:
DFT total energy ... -6.2951 eV per atom
Calculated density ... 9.199 Mg/m³
Magnetization ... 12.91 μB/cell
Formation energy from the elements ... 0.01 eV per atom

Cell lengths 4.358, 4.358, 10.378 Å; angles 94.03, 94.03, 47.94 degrees
Atoms (fractional coordinates):
Co: 0.117 0.117 0.160
Co: 0.346 0.346 0.464
Co: 0.654 0.654 0.536
Co: 0.883 0.883 0.840
Ni: 0.040 0.040 0.386
Ni: 0.194 0.194 0.919
Ni: 0.269 0.269 0.688
Ni: 0.421 0.421 0.235
Ni: 0.579 0.579 0.765
Ni: 0.731 0.731 0.312
Ni: 0.806 0.806 0.081
Ni: 0.960 0.960 0.614
Rh: 0.500 0.500 0.000



First-principles (GGA-PBE) data for TbMnNi after structural relaxation, as listed in the Alexandria database.

Computed properties:
DFT total energy ... -6.2910 eV per atom
Calculated density ... 7.099 Mg/m³
Magnetization ... 13.23 μB/cell
Formation energy from the elements ... 0.24 eV per atom

Cell lengths 6.899, 6.899, 5.358 Å; angles 90.00, 90.00, 90.00 degrees
Atoms (fractional coordinates):
Tb: 0.224 0.224 0.000
Tb: 0.276 0.724 0.250
Tb: 0.724 0.276 0.750
Tb: 0.776 0.776 0.500
Mn: 0.075 0.075 0.500
Mn: 0.425 0.575 0.750
Mn: 0.575 0.425 0.250
Mn: 0.925 0.925 0.000
Ni: 0.184 0.816 0.750
Ni: 0.316 0.316 0.500
Ni: 0.684 0.684 0.000
Ni: 0.816 0.184 0.250



First-principles (GGA-PBE) data for ErSi2PdRu after structural relaxation, as listed in the Alexandria database.

Computed properties:
DFT total energy ... -6.8787 eV per atom
Calculated density ... 8.626 Mg/m³
Magnetization ... 0.00 μB/cell
Formation energy without anion corrections ... -0.903 eV/atom

Cell lengths 5.780, 5.780, 5.780 Å; angles 138.79, 138.79, 59.69 degrees
Atoms (fractional coordinates):
Er: 0.000 0.000 0.000
Si: 0.380 0.380 0.000
Si: 0.620 0.620 0.000
Pd: 0.750 0.250 0.500
Ru: 0.250 0.750 0.500



First-principles (GGA-PBE) data for ZrTlIr2 after structural relaxation, as listed in the Alexandria database.

Computed properties:
DFT total energy ... -7.1729 eV per atom
Calculated density ... 15.022 Mg/m³
Magnetization ... 0.00 μB/cell
Formation energy from the elements ... -0.01 eV per atom

Cell lengths 3.666, 3.666, 5.593 Å; angles 90.00, 90.00, 90.00 degrees
Atoms (fractional coordinates):
Zr: 0.000 0.000 0.000
Tl: 0.500 0.500 0.676
Ir: 0.000 0.000 0.476
Ir: 0.500 0.500 0.180



First-principles (GGA-PBE) data for RbThPaO6 after structural relaxation, as listed in the Alexandria database.

Computed properties:
DFT total energy ... -7.9005 eV per atom
Calculated density ... 6.314 Mg/m³
Magnetization ... 2.02 μB/cell
Formation energy without anion corrections ... -2.608 eV/atom

Cell lengths 6.265, 6.265, 4.987 Å; angles 90.00, 90.00, 120.00 degrees
Atoms (fractional coordinates):
Rb: 0.000 0.000 0.000
Th: 0.333 0.667 0.000
Pa: 0.667 0.333 0.500
O: 0.423 0.013 0.253
O: 0.423 0.410 0.747
O: 0.590 0.013 0.747
O: 0.590 0.577 0.253
O: 0.987 0.410 0.253
O: 0.987 0.577 0.747



First-principles (GGA-PBE) data for VCr2Te after structural relaxation, as listed in the Alexandria database.

Computed properties:
DFT total energy ... -7.1236 eV per atom
Calculated density ... 7.139 Mg/m³
Magnetization ... 1.20 μB/cell
Formation energy without anion corrections ... 0.753 eV/atom

Cell lengths 9.179, 9.179, 9.179 Å; angles 155.64, 155.64, 34.72 degrees
Atoms (fractional coordinates):
V: 0.000 0.000 0.000
V: 0.750 0.250 0.500
Cr: 0.057 0.625 0.932
Cr: 0.375 0.307 0.432
Cr: 0.693 0.125 0.068
Cr: 0.875 0.943 0.568
Te: 0.250 0.750 0.500
Te: 0.500 0.500 0.000



Q: Which value of calculated density does entry 6 give?
A: 7.139 Mg/m³



Q: Look up the calculated density of the fourth one.
A: 15.022 Mg/m³



Repeat the first record exactly.
First-principles (GGA-PBE) data for Co4Ni8Rh after structural relaxation, as listed in the Alexandria database.

Computed properties:
DFT total energy ... -6.2951 eV per atom
Calculated density ... 9.199 Mg/m³
Magnetization ... 12.91 μB/cell
Formation energy from the elements ... 0.01 eV per atom

Cell lengths 4.358, 4.358, 10.378 Å; angles 94.03, 94.03, 47.94 degrees
Atoms (fractional coordinates):
Co: 0.117 0.117 0.160
Co: 0.346 0.346 0.464
Co: 0.654 0.654 0.536
Co: 0.883 0.883 0.840
Ni: 0.040 0.040 0.386
Ni: 0.194 0.194 0.919
Ni: 0.269 0.269 0.688
Ni: 0.421 0.421 0.235
Ni: 0.579 0.579 0.765
Ni: 0.731 0.731 0.312
Ni: 0.806 0.806 0.081
Ni: 0.960 0.960 0.614
Rh: 0.500 0.500 0.000